The following is a DFT calculation (PBE) of a relaxed Dy3HoAg2 crystal.

Output
* V: 26.6 Å³/atom
* M_tot: 0.00 μB per formula unit
* energy of formation: -0.199 eV per atom

Cell lengths 3.613, 3.613, 12.241 Å; angles 90.00, 90.00, 90.00 degrees
Atoms (fractional coordinates):
Dy 0.000 0.000 0.000
Dy 0.000 0.000 0.299
Dy 0.000 0.000 0.701
Ho 0.500 0.500 0.500
Ag 0.500 0.500 0.150
Ag 0.500 0.500 0.850